*w*
CdInTc2, PBEsol geometry, DFT SCAN; total magnetization = 0.00 μB per cell; volume = 69.3 Å³ per cell
1.0
-0.0920 0.1247 -2.8325
-2.4034 -0.6699 1.3497
-2.3415 9.3853 0.4891
Cd In Tc
1 1 2
Direct
0.0000 0.0000 0.5179
0.5000 0.5000 0.2309
0.5000 0.5000 0.7721
0.0000 0.0000 0.9791

*x*
CdInTc2, PBEsol geometry, DFT SCAN; total magnetization = 0.00 μB per cell; volume = 66.4 Å³ per cell
1.0
-1.0658 -2.1137 1.4417
2.2865 -2.6042 -4.0555
3.2687 2.0360 3.7012
Cd In Tc
1 1 2
Direct
0.5000 0.0000 0.0000
0.0000 0.5000 0.0000
0.0000 0.0000 0.5000
0.5000 0.5000 0.5000

Which structure is most stable, and how do the rest compare? From most to least stable: *w*, *x*.

*w*
CdInTe, PBEsol geometry, DFT SCAN; total magnetization = 0.00 μB per cell; volume = 77.7 Å³ per cell
1.0
-0.1065 2.6784 1.6874
-1.5163 -2.1745 1.7335
7.7461 -2.2324 1.8709
Te In Cd
1 1 1
Direct
0.3375 0.3375 0.6751
0.6608 0.6608 0.3216
0.0017 0.0017 0.0033

*x*
CdInTe, PBEsol geometry, DFT SCAN; total magnetization = 0.00 μB per cell; volume = 77.6 Å³ per cell
1.0
3.2686 0.0000 0.0000
0.0000 3.9599 0.0000
-1.6343 -1.9799 5.9970
Cd Te In
1 1 1
Direct
0.0005 0.0005 0.0009
0.3399 0.3399 0.6799
0.6596 0.6596 0.3192

Which structure is most stable, and how do the rest compare? From most to least stable: *x*, *w*.

*w*
TlCd2In, PBEsol geometry, DFT SCAN; total magnetization = 0.00 μB per cell; volume = 95.5 Å³ per cell
1.0
-1.4596 -0.3213 2.8315
4.0640 -0.9764 1.9841
0.9262 6.2717 1.1891
Cd In Tl
2 1 1
Direct
0.5000 0.5000 0.2447
0.0000 0.0000 0.0115
0.0000 0.0000 0.4892
0.5000 0.5000 0.7545

*x*
TlCd2In, PBEsol geometry, DFT SCAN; total magnetization = 0.00 μB per cell; volume = 97.5 Å³ per cell
1.0
-0.8646 -3.0193 0.3099
4.6158 -1.5891 -2.6047
0.7965 2.0415 6.0430
Tl Cd In
1 2 1
Direct
0.0000 0.5000 0.0000
0.2444 0.2444 0.4888
0.7556 0.7556 0.5112
0.5000 0.0000 0.0000

Which structure is most stable, and how do the rest compare? From most to least stable: *w*, *x*.

*w*
ZnCd2In, PBEsol geometry, DFT SCAN; total magnetization = 0.00 μB per cell; volume = 82.1 Å³ per cell
1.0
-1.8376 -2.2112 1.6795
3.2081 2.1041 2.9797
-4.1405 3.6286 0.2471
Cd Zn In
2 1 1
Direct
0.2523 0.5045 0.7625
0.0050 0.0100 0.0154
0.7476 0.4952 0.2351
0.4951 0.9902 0.4870

*x*
ZnCd2In, PBEsol geometry, DFT SCAN; total magnetization = 0.00 μB per cell; volume = 81.5 Å³ per cell
1.0
-2.2385 -0.7530 2.0675
0.0543 -4.0431 -1.4138
4.2464 -1.3755 4.0966
In Cd Zn
1 2 1
Direct
0.5000 0.5000 0.0000
0.0000 0.0000 0.7344
0.0000 0.0000 0.2656
0.5000 0.5000 0.5000

Which structure is most stable, and how do the rest compare? From most to least stable: *w*, *x*.